(1)
Material: Pr3Sm2Bi4
Method: DFT, PBE
State: optimized geometry

- raw total energy (eV per atom) = -5.104
- size of the total moment (μB/cell) = 0.000
- calculated formation energy (eV per atom) = -0.74

The structure in CIF format:
```
data_Pr3Sm2Bi4
_chemical_formula_sum 'Pr3 Sm2 Bi4'
_cell_length_a 4.856
_cell_length_b 8.165
_cell_length_c 10.690
_cell_angle_alpha 130.06
_cell_angle_beta 90.00
_cell_angle_gamma 107.30
_space_group_name_H-M_alt 'P 1'
_space_group_IT_number 1
loop_
_space_group_symop_operation_xyz
'x,y,z'
loop_
_atom_site_label
_atom_site_type_symbol
_atom_site_fract_x
_atom_site_fract_y
_atom_site_fract_z
_atom_site_occupancy
Bi1 Bi 0.941 0.881 0.593 1
Bi2 Bi 0.656 0.313 0.034 1
Bi3 Bi 0.059 0.119 0.407 1
Bi4 Bi 0.344 0.687 0.966 1
Sm1 Sm 0.351 0.701 0.667 1
Sm2 Sm 0.649 0.299 0.333 1
Pr1 Pr 0.000 0.000 0.000 1
Pr2 Pr 0.346 0.693 0.277 1
Pr3 Pr 0.654 0.307 0.723 1
```

(2)
Material: LaPaCSe
Method: DFT, PBE
State: optimized geometry

- raw total energy (eV per atom) = -7.678
- size of the total moment (μB/cell) = 1.361

The structure in CIF format:
```
data_LaPaCSe
_chemical_formula_sum 'La2 Pa2 C2 Se2'
_cell_length_a 3.978
_cell_length_b 3.978
_cell_length_c 14.337
_cell_angle_alpha 82.03
_cell_angle_beta 82.03
_cell_angle_gamma 60.00
_space_group_name_H-M_alt 'P 1'
_space_group_IT_number 1
loop_
_space_group_symop_operation_xyz
'x,y,z'
loop_
_atom_site_label
_atom_site_type_symbol
_atom_site_fract_x
_atom_site_fract_y
_atom_site_fract_z
_atom_site_occupancy
La1 La 0.204 0.204 0.388 1
La2 La 0.796 0.796 0.612 1
Se1 Se 0.082 0.082 0.754 1
Se2 Se 0.918 0.918 0.246 1
Pa1 Pa 0.633 0.633 0.101 1
Pa2 Pa 0.367 0.367 0.899 1
C1 C 0.688 0.688 0.937 1
C2 C 0.312 0.312 0.063 1
```

(3)
Material: KNp2ScO8
Method: DFT, PBE
State: optimized geometry

- raw total energy (eV per atom) = -8.825
- size of the total moment (μB/cell) = 2.000

The structure in CIF format:
```
data_KNp2ScO8
_chemical_formula_sum 'K1 Np2 Sc1 O8'
_cell_length_a 5.034
_cell_length_b 5.034
_cell_length_c 7.090
_cell_angle_alpha 88.91
_cell_angle_beta 88.90
_cell_angle_gamma 86.65
_space_group_name_H-M_alt 'P 1'
_space_group_IT_number 1
loop_
_space_group_symop_operation_xyz
'x,y,z'
loop_
_atom_site_label
_atom_site_type_symbol
_atom_site_fract_x
_atom_site_fract_y
_atom_site_fract_z
_atom_site_occupancy
O1 O 0.217 0.782 0.787 1
O2 O 0.662 0.661 0.535 1
O3 O 0.308 0.309 0.988 1
O4 O 0.692 0.691 0.012 1
O5 O 0.781 0.216 0.787 1
O6 O 0.219 0.784 0.213 1
O7 O 0.783 0.218 0.213 1
O8 O 0.338 0.339 0.465 1
K1 K 0.000 0.000 0.500 1
Np1 Np 0.493 0.493 0.757 1
Np2 Np 0.507 0.507 0.243 1
Sc1 Sc 0.000 0.000 0.000 1
```

> Look up the raw total energy of the second one.

-7.678 eV per atom

Copy entry 3 word for word.
Material: KNp2ScO8
Method: DFT, PBE
State: optimized geometry

- raw total energy (eV per atom) = -8.825
- size of the total moment (μB/cell) = 2.000

The structure in CIF format:
```
data_KNp2ScO8
_chemical_formula_sum 'K1 Np2 Sc1 O8'
_cell_length_a 5.034
_cell_length_b 5.034
_cell_length_c 7.090
_cell_angle_alpha 88.91
_cell_angle_beta 88.90
_cell_angle_gamma 86.65
_space_group_name_H-M_alt 'P 1'
_space_group_IT_number 1
loop_
_space_group_symop_operation_xyz
'x,y,z'
loop_
_atom_site_label
_atom_site_type_symbol
_atom_site_fract_x
_atom_site_fract_y
_atom_site_fract_z
_atom_site_occupancy
O1 O 0.217 0.782 0.787 1
O2 O 0.662 0.661 0.535 1
O3 O 0.308 0.309 0.988 1
O4 O 0.692 0.691 0.012 1
O5 O 0.781 0.216 0.787 1
O6 O 0.219 0.784 0.213 1
O7 O 0.783 0.218 0.213 1
O8 O 0.338 0.339 0.465 1
K1 K 0.000 0.000 0.500 1
Np1 Np 0.493 0.493 0.757 1
Np2 Np 0.507 0.507 0.243 1
Sc1 Sc 0.000 0.000 0.000 1
```

> The lowest raw total energy belongs to which entry?

KNp2ScO8